Here is BaHoTcN3 after structural relaxation from the Alexandria database. Energies are from PBE-GGA.

Calculated volume in Å³/atom: 18.39
Uncorrected formation energy in eV per atom: -0.73
SG: No. 11
VASP energy in eV/cell: -92.39
Density in g cm⁻³: 6.7

a = 6.901 Å, b = 3.574 Å, c = 9.382 Å
α = 90.00°, β = 107.54°, γ = 90.00°
Positions (direct):
Ba  0.193  0.250  0.204
Ba  0.807  0.750  0.796
Ho  0.351  0.250  0.863
Ho  0.649  0.750  0.137
Tc  0.131  0.750  0.579
Tc  0.869  0.250  0.421
N  0.028  0.250  0.647
N  0.305  0.750  0.012
N  0.392  0.750  0.687
N  0.608  0.250  0.313
N  0.695  0.250  0.988
N  0.972  0.750  0.353

---

Here is RbNaLi2Pd after structural relaxation from the Alexandria database. Energies are from PBE-GGA.

Calculated volume in Å³/atom: 30.10
SG: No. 123
VASP energy in eV/cell: -11.35
Density in g cm⁻³: 2.5
Formation enthalpy at 0 K in eV per atom: -0.0087

a = 5.138 Å, b = 5.138 Å, c = 5.702 Å
α = 90.00°, β = 90.00°, γ = 90.00°
Positions (direct):
Rb  0.000  0.000  0.000
Na  0.500  0.500  0.000
Li  0.000  0.500  0.500
Li  0.500  0.000  0.500
Pd  0.500  0.500  0.500